Material: Cr3GaO9
Method: DFT, GGA+U
State: relaxed

Unit cell a=7.795 b=7.795 c=10.088 alpha=121.45 beta=121.45 gamma=53.19
Sites, in units of the cell vectors:
Cr 0.035 0.965 0.500
Cr 0.290 0.492 0.584
Cr 0.492 0.290 0.084
Cr 0.546 0.708 0.439
Cr 0.708 0.546 0.939
Cr 0.965 0.035 0.000
Ga 0.021 0.495 0.763
Ga 0.495 0.021 0.263
O 0.019 0.790 0.850
O 0.055 0.182 0.667
O 0.071 0.756 0.548
O 0.182 0.055 0.167
O 0.189 0.387 0.620
O 0.260 0.820 0.418
O 0.328 0.405 0.934
O 0.387 0.189 0.120
O 0.405 0.328 0.434
O 0.473 0.602 0.765
O 0.572 0.897 0.424
O 0.602 0.473 0.265
O 0.611 0.722 0.101
O 0.722 0.611 0.601
O 0.756 0.071 0.048
O 0.790 0.019 0.350
O 0.820 0.260 0.918
O 0.897 0.572 0.924

## Properties
The value obtained for the total magnetization is 0.231 μB per atom. Its mass density is 3.08 g cm⁻³. Its space group is Cc, No. 9. The calculation puts the final energy at -0.2454 Ha/atom.